Here is crystalline Sc5AlPt at its relaxed geometry from Alexandria. Energies are from PBE.

Summary:
Energy of formation in eV/atom: -0.392
Calculated total energy in eV per atom: -6.31
Space-group type: C2/c (15)

The structure in POSCAR format:
```
Sc5AlPt
1.0
4.047 -4.178 0.000
4.047 4.178 0.000
-0.572 0.000 9.307
Sc Al Pt
10 2 2
direct
0.058 0.616 0.342
0.140 0.860 0.750
0.234 0.416 0.992
0.384 0.942 0.158
0.416 0.234 0.492
0.584 0.766 0.508
0.616 0.058 0.842
0.766 0.584 0.008
0.860 0.140 0.250
0.942 0.384 0.658
0.481 0.519 0.750
0.519 0.481 0.250
0.000 0.000 0.000
0.000 0.000 0.500
```